(1)
Here is an optimized crystal structure of CaLa14Y from Alexandria via LeMat-Bulk. Energies are from PBE.

POSCAR file:
```
CaLa14Y
1.0
10.535 0.000 0.000
0.000 5.278 5.281
0.000 -5.278 5.281
Ca La Y
1 14 1
Direct
0.000 0.000 0.000
0.000 0.000 0.500
0.000 0.500 0.000
0.253 0.255 0.255
0.253 0.255 0.745
0.253 0.745 0.255
0.253 0.745 0.745
0.500 0.000 0.501
0.500 0.001 0.001
0.500 0.500 0.500
0.500 0.501 0.000
0.747 0.255 0.255
0.747 0.255 0.745
0.747 0.745 0.255
0.747 0.745 0.745
0.000 0.500 0.500
```

Output
Raw total energy = -0.177 hartree per atom
Spin magnetization = 0.0 μB/cell
ΔH_f (0 K) = 0.259 eV per formula unit
Space group = No. 38

(2)
Here is an optimized crystal structure of Be2Al2Tl from Alexandria via LeMat-Bulk. Energies are from PBE.

POSCAR file:
```
Be2Al2Tl
1.0
-1.939 1.939 5.730
1.939 -1.939 5.730
1.939 1.939 -5.730
Be Al Tl
2 2 1
Direct
0.250 0.750 0.500
0.750 0.250 0.500
0.119 0.119 0.000
0.881 0.881 0.000
0.500 0.500 0.000
```

Output
Raw total energy = -0.110 hartree per atom
Spin magnetization = 0.0 μB/cell
ΔE to the lowest computed polymorph = 5 meV per atom
ΔH_f (0 K) = 2.283 eV per formula unit
Space group = No. 139

(3)
Here is an optimized crystal structure of CaOsBr2 from Alexandria via LeMat-Bulk. Energies are from PBE.

POSCAR file:
```
CaOsBr2
1.0
3.348 0.000 0.000
0.000 3.348 0.000
0.000 0.000 10.807
Ca Os Br
1 1 2
Direct
0.000 0.000 0.000
0.000 0.000 0.500
0.500 0.500 0.163
0.500 0.500 0.837
```

Output
Raw total energy = -0.140 hartree per atom
Spin magnetization = 3.1 μB/cell
ΔE to the lowest computed polymorph = 552 meV per atom
Formation energy without anion corrections = 31.0 kJ per mole of atoms
Space group = No. 123

(4)
Here is an optimized crystal structure of Rb2Dy2MnSe6 from Alexandria via LeMat-Bulk. Energies are from PBE.

POSCAR file:
```
Rb2Dy2MnSe6
1.0
3.502 -5.989 0.000
3.502 5.989 0.000
-2.476 0.000 8.173
Rb Dy Mn Se
2 2 1 6
Direct
0.174 0.826 0.000
0.826 0.174 0.000
0.332 0.668 0.500
0.668 0.332 0.500
0.000 0.000 0.500
0.068 0.368 0.685
0.234 0.234 0.318
0.368 0.068 0.685
0.632 0.932 0.315
0.766 0.766 0.682
0.932 0.632 0.315
```

Output
Raw total energy = -0.186 hartree per atom
Spin magnetization = 3.0 μB/cell
Formation energy without anion corrections = -126.9 kJ per mole of atoms
Space group = No. 12

(5)
Here is an optimized crystal structure of Cd2Cu2Ge from Alexandria via LeMat-Bulk. Energies are from PBE.

POSCAR file:
```
Cd2Cu2Ge
1.0
7.859 0.000 0.000
0.000 7.859 0.000
0.000 0.000 2.916
Cd Cu Ge
4 4 2
Direct
0.135 0.365 0.000
0.365 0.865 0.000
0.635 0.135 0.000
0.865 0.635 0.000
0.164 0.664 0.500
0.336 0.164 0.500
0.664 0.836 0.500
0.836 0.336 0.500
0.000 0.000 0.000
0.500 0.500 0.000
```

Output
Raw total energy = -0.099 hartree per atom
Spin magnetization = 0.0 μB/cell
ΔE to the lowest computed polymorph = 113 meV per atom
ΔH_f (0 K) = 1.129 eV per formula unit
Space group = No. 127

(6)
Here is an optimized crystal structure of Ac3Tl2Ru from Alexandria via LeMat-Bulk. Energies are from PBE.

POSCAR file:
```
Ac3Tl2Ru
1.0
8.851 -2.815 0.000
8.851 2.815 0.000
-0.007 0.000 4.064
Ac Tl Ru
3 2 1
Direct
0.000 0.000 0.000
0.373 0.373 0.499
0.627 0.627 0.501
0.198 0.198 0.998
0.802 0.802 0.002
0.500 0.500 0.000
```

Output
Raw total energy = -0.171 hartree per atom
Spin magnetization = 0.0 μB/cell
ΔH_f (0 K) = -1.556 eV per formula unit
Space group = No. 12

(7)
Here is an optimized crystal structure of NbSb2Te2 from Alexandria via LeMat-Bulk. Energies are from PBE.

POSCAR file:
```
NbSb2Te2
1.0
7.427 0.000 0.000
0.000 7.427 0.000
0.000 0.000 4.913
Nb Sb Te
2 4 4
Direct
0.000 0.000 0.000
0.500 0.500 0.000
0.146 0.354 0.000
0.354 0.854 0.000
0.646 0.146 0.000
0.854 0.646 0.000
0.187 0.687 0.500
0.313 0.187 0.500
0.687 0.813 0.500
0.813 0.313 0.500
```

Output
Raw total energy = -0.167 hartree per atom
Spin magnetization = 0.0 μB/cell
ΔE to the lowest computed polymorph = 0 meV per atom
Formation energy without anion corrections = 36.6 kJ per mole of atoms
Space group = No. 127